The following is a DFT calculation (PBE) of ErTiAl2 after structural relaxation.

DFT formation energy in meV/atom: -261
Relative energy among the computed polymorphs in meV per atom: 56
N(E_F) in states/eV/atom: 0.694
Total magnetic moment in μB per formula unit: 1.32
VASP energy in eV per atom: -5.2467

Lattice parameters (Å, degrees): 4.240 4.298 4.298 90.00 90.00 90.00
Positions (direct):
Er 0.500 0.500 0.500
Al 0.000 0.000 0.500
Al 0.000 0.500 0.000
Ti 0.500 0.000 0.000